Sm4MgAu7 | GGA-PBE | relaxed

Summary:
Volume   289 Å³/cell
Spin magnetization   0.00 μB/f.u.
Energy of formation   -0.682 eV per atom

Cell: 7.751 7.751 9.188 Å, 120.12 120.12 38.20°
Sites, in units of the cell vectors:
Sm 0.062 0.062 0.247
Sm 0.231 0.231 0.757
Sm 0.769 0.769 0.243
Sm 0.938 0.938 0.753
Mg 0.500 0.500 0.500
Au 0.000 0.000 0.500
Au 0.172 0.172 0.048
Au 0.309 0.309 0.507
Au 0.409 0.409 0.146
Au 0.591 0.591 0.854
Au 0.691 0.691 0.493
Au 0.828 0.828 0.952